Record 1
# NiMo2Br (GGA-PBEsol, optimized geometry)
# **Space-group type**: Cmm2 (35)
# **Raw formation energy**: 192 kJ/mol of formula units
# **ΔE to the lowest computed polymorph**: 137.9 meV per atom
data_NiMo2Br
_chemical_formula_sum 'Ni1 Mo2 Br1'
_space_group_name_H-M_alt 'P 1'
_space_group_IT_number 1
_cell_length_a 2.888
_cell_length_b 2.888
_cell_length_c 8.131
_cell_angle_alpha 90.00
_cell_angle_beta 90.00
_cell_angle_gamma 111.89
loop_
_space_group_symop_operation_xyz
'x,y,z'
loop_
_atom_site_label
_atom_site_fract_x
_atom_site_fract_y
_atom_site_fract_z
Ni1 0.000 0.000 0.517
Mo1 0.000 0.000 0.981
Mo2 0.500 0.500 0.741
Br1 0.500 0.500 0.261

***

Record 2
# Te2MoRhN (GGA-PBEsol, optimized geometry)
# **Space-group type**: P4/mmm (123)
# **Raw formation energy**: 359 kJ/mol of formula units
data_Te2MoRhN
_chemical_formula_sum 'Te2 Mo1 Rh1 N1'
_space_group_name_H-M_alt 'P 1'
_space_group_IT_number 1
_cell_length_a 3.578
_cell_length_b 5.310
_cell_length_c 5.310
_cell_angle_alpha 90.00
_cell_angle_beta 90.00
_cell_angle_gamma 90.00
loop_
_space_group_symop_operation_xyz
'x,y,z'
loop_
_atom_site_label
_atom_site_fract_x
_atom_site_fract_y
_atom_site_fract_z
Te1 0.000 0.500 0.000
Te2 0.000 0.000 0.500
Rh1 0.000 0.000 0.000
Mo1 0.500 0.500 0.500
N1 0.500 0.000 0.000

***

Record 3
# TaIr2W (GGA-PBEsol, optimized geometry)
# **Space-group type**: I4/mmm (139)
# **Energy of formation**: -0.4423 eV/atom
# **ΔE to the lowest computed polymorph**: 5.2 meV per atom
data_TaIr2W
_chemical_formula_sum 'Ta1 Ir2 W1'
_space_group_name_H-M_alt 'P 1'
_space_group_IT_number 1
_cell_length_a 3.951
_cell_length_b 3.951
_cell_length_c 4.781
_cell_angle_alpha 114.40
_cell_angle_beta 114.40
_cell_angle_gamma 90.00
loop_
_space_group_symop_operation_xyz
'x,y,z'
loop_
_atom_site_label
_atom_site_fract_x
_atom_site_fract_y
_atom_site_fract_z
W1 0.500 0.500 0.000
Ir1 0.750 0.250 0.500
Ir2 0.250 0.750 0.500
Ta1 0.000 0.000 0.000

***

Record 4
# TlZn2Cl (GGA-PBEsol, optimized geometry)
# **Space-group type**: I4/mmm (139)
# **Raw formation energy**: -14 kJ/mol of formula units
# **ΔE to the lowest computed polymorph**: 134.1 meV per atom
data_TlZn2Cl
_chemical_formula_sum 'Tl1 Zn2 Cl1'
_space_group_name_H-M_alt 'P 1'
_space_group_IT_number 1
_cell_length_a 4.141
_cell_length_b 4.141
_cell_length_c 6.100
_cell_angle_alpha 109.84
_cell_angle_beta 109.84
_cell_angle_gamma 90.00
loop_
_space_group_symop_operation_xyz
'x,y,z'
loop_
_atom_site_label
_atom_site_fract_x
_atom_site_fract_y
_atom_site_fract_z
Cl1 0.500 0.500 0.000
Tl1 0.000 0.000 0.000
Zn1 0.250 0.750 0.500
Zn2 0.750 0.250 0.500

***

Number 1: calculated volume 15.7 Å³ per atom. Number 2: calculated volume 20.2 Å³ per atom. Number 3: calculated volume 15.1 Å³ per atom. Number 4: calculated volume 22.9 Å³ per atom.